# Eu2PBr

A relaxed structure of Eu2PBr (GGA-PBEsol, Alexandria).

Calculated values
Crystal system ... trigonal
Spin magnetization ... 41.87 Bohr magnetons per cell
E_tot ... -8.79 eV/atom
Symmetry ... R-3m (166)
Fermi-level density of states ... 50.111 states/eV per cell

abc: 4.2132 4.2132 20.9740
angles: 90.00 90.00 120.00
Fractional coordinates of all 12 atoms:
Eu: 0.0000 0.0000 0.2394
Eu: 0.0000 0.0000 0.7606
Eu: 0.3333 0.6667 0.4273
Eu: 0.3333 0.6667 0.9061
Eu: 0.6667 0.3333 0.0939
Eu: 0.6667 0.3333 0.5727
P: 0.0000 0.0000 0.5000
P: 0.3333 0.6667 0.1667
P: 0.6667 0.3333 0.8333
Br: 0.0000 0.0000 0.0000
Br: 0.3333 0.6667 0.6667
Br: 0.6667 0.3333 0.3333